A relaxed NaPmP crystal, computed with PBE.

Cell: 4.831 4.831 10.175 Å, 76.27 76.27 60.00°
Fractional coordinates of all 6 atoms:
Na  0.628  0.628  0.115
Na  0.372  0.372  0.885
P  0.885  0.885  0.344
P  0.115  0.115  0.656
Pm  0.212  0.212  0.364
Pm  0.788  0.788  0.636

Values from the calculation:
E (eV/atom): -4.493
Formation enthalpy at 0 K (meV per atom): -666.8
Total magnetization (μB per cell): 0.00
V (A^3/atom): 33.0



A relaxed NaPmP crystal, computed with PBE.

Cell: 4.751 4.751 4.751 Å, 60.00 60.00 60.00°
Fractional coordinates of all 3 atoms:
Pm  0.500  0.500  0.500
P  0.250  0.250  0.250
Na  0.000  0.000  0.000

Values from the calculation:
E (eV/atom): -4.534
Formation enthalpy at 0 K (meV per atom): -707.3
Total magnetization (μB per cell): 0.00
V (A^3/atom): 25.3



| no. | energy above the lowest structure with this stoichiometry (eV/atom) |
| --- | --- |
| 1 | 0.040 |
| 2 | 0.000 |